[1]
VASP calculation (PBE-GGA) on TlCuF3 after structural relaxation.

a = 3.7464 Å, b = 3.7464 Å, c = 14.1494 Å
α = 90.00°, β = 90.00°, γ = 120.00°
Closest atoms and distances in Å follow each position.
Atoms (fractional coordinates):
Tl 0.0000 0.0000 0.0000  6 F 2.73
Tl 0.0000 0.0000 0.5000  6 F 2.73
Cu 0.3333 0.6667 0.2500  2 F 1.87
Cu 0.6667 0.3333 0.7500  2 F 1.87
F 0.0000 0.0000 0.2500  3 Cu 2.16
F 0.0000 0.0000 0.7500  3 Cu 2.16
F 0.3333 0.6667 0.1180  1 Cu 1.87
F 0.3333 0.6667 0.3820  1 Cu 1.87
F 0.6667 0.3333 0.6180  1 Cu 1.87
F 0.6667 0.3333 0.8820  1 Cu 1.87

Values from the calculation:
Total DFT energy (no corrections)   -4.003 eV/atom
Spin magnetization   1.0 μB per formula unit
Raw formation energy   -1.5879 eV/atom

[2]
VASP calculation (PBE-GGA) on SrCaAu3 after structural relaxation.

a = 5.6064 Å, b = 5.6064 Å, c = 5.6064 Å
α = 90.00°, β = 90.00°, γ = 90.00°
Closest atoms and distances in Å follow each position.
Atoms (fractional coordinates):
Sr 0.0000 0.0000 0.0000  6 Au 2.80
Ca 0.5000 0.5000 0.5000  12 Au 3.96
Au 0.0000 0.0000 0.5000  2 Sr 2.80
Au 0.0000 0.5000 0.0000  2 Sr 2.80
Au 0.5000 0.0000 0.0000  2 Sr 2.80

Values from the calculation:
Total DFT energy (no corrections)   -2.703 eV/atom
Spin magnetization   0.0 μB per formula unit
Excess energy over the best structure of this formula in the dataset   770 meV per atom

[3]
VASP calculation (PBE-GGA) on TbGa2Tc2C after structural relaxation.

a = 4.1568 Å, b = 4.1568 Å, c = 5.5208 Å
α = 90.00°, β = 90.00°, γ = 90.00°
Closest atoms and distances in Å follow each position.
Atoms (fractional coordinates):
Tb 0.0000 0.0000 0.0000  2 C 2.76
Ga 0.5000 0.5000 0.2201  1 Ga 2.43, 4 Tc 2.59
Ga 0.5000 0.5000 0.7799  1 Ga 2.43, 4 Tc 2.59
Tc 0.0000 0.5000 0.5000  2 C 2.08
Tc 0.5000 0.0000 0.5000  2 C 2.08
C 0.0000 0.0000 0.5000  4 Tc 2.08

Values from the calculation:
Total DFT energy (no corrections)   -7.157 eV/atom
Spin magnetization   0.0 μB per formula unit

[4]
VASP calculation (PBE-GGA) on TePbO4 after structural relaxation.

a = 6.7403 Å, b = 6.7403 Å, c = 5.5586 Å
α = 104.08°, β = 104.08°, γ = 43.99°
Closest atoms and distances in Å follow each position.
Atoms (fractional coordinates):
Te 0.0000 0.5000 0.0000  6 O 1.89-2.01
Te 0.5000 0.0000 0.5000  6 O 1.89-2.01
Pb 0.2438 0.7562 0.7500  4 O 2.37-2.51
Pb 0.7562 0.2438 0.2500  4 O 2.37-2.51
O 0.1525 0.2367 0.6828  2 Te 2.01
O 0.2367 0.1525 0.1828  2 Te 2.01
O 0.2797 0.5129 0.0592  1 Te 1.89
O 0.4871 0.7203 0.4408  1 Te 1.89
O 0.5129 0.2797 0.5592  1 Te 1.89
O 0.7203 0.4871 0.9408  1 Te 1.89
O 0.7633 0.8475 0.8172  2 Te 2.01
O 0.8475 0.7633 0.3172  2 Te 2.01

Values from the calculation:
Total DFT energy (no corrections)   -5.503 eV/atom
Spin magnetization   0.0 μB per formula unit
Raw formation energy   -1.0558 eV/atom
Excess energy over the best structure of this formula in the dataset   0 meV per atom

[5]
VASP calculation (PBE-GGA) on PbC2O after structural relaxation.

a = 5.8078 Å, b = 5.8078 Å, c = 5.8078 Å
α = 90.00°, β = 90.00°, γ = 90.00°
Closest atoms and distances in Å follow each position.
Atoms (fractional coordinates):
Pb 0.0000 0.0000 0.0000  8 C 2.51
Pb 0.0000 0.5000 0.5000  8 C 2.51
Pb 0.5000 0.0000 0.5000  8 C 2.51
Pb 0.5000 0.5000 0.0000  8 C 2.51
C 0.2500 0.2500 0.2500  4 O 2.51, 4 Pb 2.51
C 0.2500 0.2500 0.7500  4 O 2.51, 4 Pb 2.51
C 0.2500 0.7500 0.2500  4 O 2.51, 4 Pb 2.51
C 0.2500 0.7500 0.7500  4 O 2.51, 4 Pb 2.51
C 0.7500 0.2500 0.2500  4 O 2.51, 4 Pb 2.51
C 0.7500 0.2500 0.7500  4 O 2.51, 4 Pb 2.51
C 0.7500 0.7500 0.2500  4 O 2.51, 4 Pb 2.51
C 0.7500 0.7500 0.7500  4 Pb 2.51, 4 O 2.51
O 0.0000 0.0000 0.5000  8 C 2.51
O 0.0000 0.5000 0.0000  8 C 2.51
O 0.5000 0.0000 0.0000  8 C 2.51
O 0.5000 0.5000 0.5000  8 C 2.51

Values from the calculation:
Total DFT energy (no corrections)   -4.125 eV/atom
Spin magnetization   0.0 μB per formula unit
Raw formation energy   2.6539 eV/atom
Excess energy over the best structure of this formula in the dataset   1364 meV per atom

[6]
VASP calculation (PBE-GGA) on GdCdIn after structural relaxation.

a = 4.9610 Å, b = 4.9610 Å, c = 3.5824 Å
α = 90.00°, β = 90.00°, γ = 120.00°
Closest atoms and distances in Å follow each position.
Atoms (fractional coordinates):
Gd 0.0000 0.0000 0.0000  6 Cd 3.38, 6 In 3.38, 2 Gd 3.58
Cd 0.6667 0.3333 0.5000  3 In 2.86
In 0.3333 0.6667 0.5000  3 Cd 2.86

Values from the calculation:
Total DFT energy (no corrections)   -6.331 eV/atom
Spin magnetization   7.5 μB per formula unit

[7]
VASP calculation (PBE-GGA) on Rb2Hg2Te after structural relaxation.

a = 8.8579 Å, b = 8.8579 Å, c = 5.1127 Å
α = 90.00°, β = 90.00°, γ = 90.00°
Closest atoms and distances in Å follow each position.
Atoms (fractional coordinates):
Rb 0.1850 0.3150 0.0000  6 Hg 3.51-3.78
Rb 0.3150 0.8150 0.0000  6 Hg 3.51-3.78
Rb 0.6850 0.1850 0.0000  6 Hg 3.51-3.78
Rb 0.8150 0.6850 0.0000  6 Hg 3.51-3.78
Hg 0.1235 0.6235 0.5000  1 Hg 3.09
Hg 0.3765 0.1235 0.5000  1 Hg 3.09
Hg 0.6235 0.8765 0.5000  1 Hg 3.09
Hg 0.8765 0.3765 0.5000  1 Hg 3.09
Te 0.0000 0.0000 0.5000  4 Hg 3.51
Te 0.5000 0.5000 0.5000  4 Hg 3.51

Values from the calculation:
Total DFT energy (no corrections)   -1.585 eV/atom
Spin magnetization   0.0 μB per formula unit
Raw formation energy   -0.4489 eV/atom
Excess energy over the best structure of this formula in the dataset   98 meV per atom

[8]
VASP calculation (PBE-GGA) on TmMgScPd after structural relaxation.

a = 7.0077 Å, b = 7.0077 Å, c = 7.0077 Å
α = 90.00°, β = 90.00°, γ = 90.00°
Closest atoms and distances in Å follow each position.
Atoms (fractional coordinates):
Tm 0.0000 0.0000 0.0000  4 Pd 3.03, 4 Mg 3.03
Tm 0.0000 0.5000 0.5000  4 Mg 3.03, 4 Pd 3.03
Tm 0.5000 0.0000 0.5000  4 Mg 3.03, 4 Pd 3.03
Tm 0.5000 0.5000 0.0000  4 Mg 3.03, 4 Pd 3.03
Mg 0.2500 0.2500 0.2500  4 Tm 3.03, 4 Sc 3.03
Mg 0.2500 0.7500 0.7500  4 Tm 3.03, 4 Sc 3.03
Mg 0.7500 0.2500 0.7500  4 Tm 3.03, 4 Sc 3.03
Mg 0.7500 0.7500 0.2500  4 Tm 3.03, 4 Sc 3.03
Sc 0.0000 0.0000 0.5000  4 Mg 3.03, 4 Pd 3.03
Sc 0.0000 0.5000 0.0000  4 Mg 3.03, 4 Pd 3.03
Sc 0.5000 0.0000 0.0000  4 Mg 3.03, 4 Pd 3.03
Sc 0.5000 0.5000 0.5000  4 Mg 3.03, 4 Pd 3.03
Pd 0.2500 0.2500 0.7500  4 Tm 3.03, 4 Sc 3.03
Pd 0.2500 0.7500 0.2500  4 Tm 3.03, 4 Sc 3.03
Pd 0.7500 0.2500 0.2500  4 Tm 3.03, 4 Sc 3.03
Pd 0.7500 0.7500 0.7500  4 Tm 3.03, 4 Sc 3.03

Values from the calculation:
Total DFT energy (no corrections)   -4.799 eV/atom
Spin magnetization   0.0 μB per formula unit

[9]
VASP calculation (PBE-GGA) on SrMnSb2Cl after structural relaxation.

a = 6.2144 Å, b = 6.2144 Å, c = 5.3230 Å
α = 90.00°, β = 90.00°, γ = 90.00°
Closest atoms and distances in Å follow each position.
Atoms (fractional coordinates):
Sr 0.0000 0.0000 0.0000  2 Cl 2.66
Mn 0.5000 0.5000 0.5000  8 Sb 4.09, 4 Cl 4.39
Sb 0.0000 0.5000 0.0000  2 Sr 3.11
Sb 0.5000 0.0000 0.0000  2 Sr 3.11
Cl 0.0000 0.0000 0.5000  2 Sr 2.66

Values from the calculation:
Total DFT energy (no corrections)   -3.742 eV/atom
Spin magnetization   3.7 μB per formula unit
Raw formation energy   0.4466 eV/atom

[10]
VASP calculation (PBE-GGA) on TeOsN2O after structural relaxation.

a = 4.0804 Å, b = 4.0804 Å, c = 3.9019 Å
α = 90.00°, β = 90.00°, γ = 90.00°
Closest atoms and distances in Å follow each position.
Atoms (fractional coordinates):
Te 0.0000 0.0000 0.0000  2 O 1.95, 4 N 2.04
Os 0.5000 0.5000 0.5000  8 N 2.82, 4 O 2.89
N 0.0000 0.5000 0.0000  2 Te 2.04
N 0.5000 0.0000 0.0000  2 Te 2.04
O 0.0000 0.0000 0.5000  2 Te 1.95

Values from the calculation:
Total DFT energy (no corrections)   -5.334 eV/atom
Spin magnetization   3.7 μB per formula unit
Raw formation energy   1.8620 eV/atom

[11]
VASP calculation (PBE-GGA) on Tb2Pr4SmEr after structural relaxation.

a = 5.1591 Å, b = 5.1896 Å, c = 10.1700 Å
α = 90.00°, β = 90.00°, γ = 90.00°
Closest atoms and distances in Å follow each position.
Atoms (fractional coordinates):
Tb 0.0000 0.0000 0.0000  8 Pr 3.61-3.62, 4 Er 3.66
Tb 0.5000 0.5000 0.5000  8 Pr 3.64-3.65, 4 Sm 3.66
Pr 0.0000 0.5000 0.2480  2 Er 3.61, 4 Tb 3.62-3.64, 2 Sm 3.65, 4 Pr 3.66
Pr 0.0000 0.5000 0.7520  2 Er 3.61, 4 Tb 3.62-3.64, 2 Sm 3.65, 4 Pr 3.66
Pr 0.5000 0.0000 0.2480  4 Tb 3.61-3.65, 2 Er 3.62, 2 Sm 3.64, 4 Pr 3.66
Pr 0.5000 0.0000 0.7520  4 Tb 3.61-3.65, 2 Er 3.62, 2 Sm 3.64, 4 Pr 3.66
Sm 0.0000 0.0000 0.5000  8 Pr 3.64-3.65, 4 Tb 3.66
Er 0.5000 0.5000 0.0000  8 Pr 3.61-3.62, 4 Tb 3.66

Values from the calculation:
Total DFT energy (no corrections)   -4.693 eV/atom
Spin magnetization   0.0 μB per formula unit

[12]
VASP calculation (PBE-GGA) on Mg4Ag3Hg4 after structural relaxation.

a = 10.0935 Å, b = 10.0935 Å, c = 10.0935 Å
α = 161.63°, β = 134.03°, γ = 49.90°
Closest atoms and distances in Å follow each position.
Atoms (fractional coordinates):
Mg 0.1990 0.0000 0.1990  6 Ag 2.87-2.91, 2 Hg 2.90, 1 Mg 3.14
Mg 0.2396 0.2396 0.0000  6 Hg 2.93-2.98, 2 Ag 3.01, 2 Mg 3.22
Mg 0.7604 0.7604 0.0000  6 Hg 2.93-2.98, 2 Ag 3.01, 2 Mg 3.22
Mg 0.8010 0.0000 0.8010  6 Ag 2.87-2.91, 2 Hg 2.90, 1 Mg 3.14
Ag 0.1008 0.6008 0.5000  6 Mg 2.91-3.01, 4 Hg 3.07, 2 Ag 3.22
Ag 0.5000 0.5000 0.0000  4 Mg 2.87
Ag 0.8992 0.3992 0.5000  6 Mg 2.91-3.01, 4 Hg 3.07, 2 Ag 3.22
Hg 0.1589 0.8490 0.3099  4 Mg 2.90-2.98, 3 Hg 3.00-3.22, 2 Ag 3.07
Hg 0.4608 0.1510 0.3099  4 Mg 2.90-2.98, 3 Hg 3.00-3.22, 2 Ag 3.07
Hg 0.5392 0.8490 0.6901  4 Mg 2.90-2.98, 3 Hg 3.00-3.22, 2 Ag 3.07
Hg 0.8411 0.1510 0.6901  4 Mg 2.90-2.98, 3 Hg 3.00-3.22, 2 Ag 3.07

Values from the calculation:
Total DFT energy (no corrections)   -1.547 eV/atom
Spin magnetization   0.0 μB per formula unit

Which value of spin magnetization does entry 12 give?
0.0 μB per formula unit

spin magnetization of number 8 (TmMgScPd)?
0.0 μB per formula unit